No. 1
Material: TiMnSbTe2
Method: DFT, SCAN
State: single point on PBEsol structure

POSCAR file:
```
TiMnSbTe2
1.0
4.902 0.000 0.000
0.000 5.119 0.000
0.000 0.000 5.119
Sb Te Mn Ti
1 2 1 1
direct
0.500 0.000 0.000 Sb
0.000 0.000 0.500 Te
0.000 0.500 0.000 Te
0.000 0.000 0.000 Mn
0.500 0.500 0.500 Ti
```

## Properties
Calculated volume in Å³ per cell: 128
Calculated total energy in eV/atom: -28.849
Magnetic moment in μB per cell: 5.31
Density of states at the Fermi level in states/eV/f.u.: 3.75

***

No. 2
Material: FeNiI2O
Method: DFT, SCAN
State: single point on PBEsol structure

POSCAR file:
```
FeNiI2O
1.0
-2.990 1.281 1.371
0.400 -3.372 4.022
2.769 3.563 2.711
I Ni Fe O
2 1 1 1
direct
0.000 0.000 0.500 I
0.000 0.500 0.000 I
0.000 0.000 0.000 Ni
0.500 0.500 0.500 Fe
0.500 0.000 0.000 O
```

## Properties
Calculated volume in Å³ per cell: 98
Calculated total energy in eV/atom: -22.643
Magnetic moment in μB per cell: 4.96
Density of states at the Fermi level in states/eV/f.u.: 2.90

***

No. 3
Material: CoH18CN6ClO3
Method: DFT, SCAN
State: single point on PBEsol structure

POSCAR file:
```
CoH18CN6ClO3
1.0
-0.625 -6.875 6.976
3.648 -6.650 -6.228
9.090 2.196 2.979
Co H C N Cl O
4 72 4 24 4 12
direct
0.986 0.986 0.986 Co
0.014 0.486 0.514 Co
0.486 0.514 0.014 Co
0.514 0.014 0.486 Co
0.549 0.950 0.730 H
0.270 0.049 0.550 H
0.450 0.770 0.451 H
0.049 0.550 0.270 H
0.770 0.451 0.450 H
0.950 0.730 0.549 H
0.451 0.450 0.770 H
0.730 0.549 0.950 H
0.550 0.270 0.049 H
0.951 0.050 0.230 H
0.230 0.951 0.050 H
0.050 0.230 0.951 H
0.121 0.716 0.542 H
0.458 0.621 0.784 H
0.216 0.958 0.879 H
0.621 0.784 0.458 H
0.958 0.879 0.216 H
0.716 0.542 0.121 H
0.879 0.216 0.958 H
0.542 0.121 0.716 H
0.784 0.458 0.621 H
0.379 0.284 0.042 H
0.042 0.379 0.284 H
0.284 0.042 0.379 H
0.532 0.788 0.603 H
0.397 0.032 0.712 H
0.288 0.897 0.468 H
0.032 0.712 0.397 H
0.897 0.468 0.288 H
0.788 0.603 0.532 H
0.468 0.288 0.897 H
0.603 0.532 0.788 H
0.712 0.397 0.032 H
0.968 0.212 0.103 H
0.103 0.968 0.212 H
0.212 0.103 0.968 H
0.083 0.775 0.888 H
0.112 0.583 0.725 H
0.275 0.612 0.917 H
0.583 0.725 0.112 H
0.612 0.917 0.275 H
0.775 0.888 0.083 H
0.917 0.275 0.612 H
0.888 0.083 0.775 H
0.725 0.112 0.583 H
0.417 0.225 0.388 H
0.388 0.417 0.225 H
0.225 0.388 0.417 H
0.926 0.737 0.937 H
0.063 0.426 0.763 H
0.237 0.563 0.074 H
0.426 0.763 0.063 H
0.563 0.074 0.237 H
0.737 0.937 0.926 H
0.074 0.237 0.563 H
0.937 0.926 0.737 H
0.763 0.063 0.426 H
0.574 0.263 0.437 H
0.437 0.574 0.263 H
0.263 0.437 0.574 H
0.946 0.555 0.750 H
0.250 0.446 0.945 H
0.055 0.750 0.054 H
0.446 0.945 0.250 H
0.750 0.054 0.055 H
0.555 0.750 0.946 H
0.054 0.055 0.750 H
0.750 0.946 0.555 H
0.945 0.250 0.446 H
0.554 0.445 0.250 H
0.250 0.554 0.445 H
0.445 0.250 0.554 H
0.751 0.751 0.751 C
0.249 0.251 0.749 C
0.251 0.749 0.249 C
0.749 0.249 0.251 C
0.531 0.818 0.502 N
0.498 0.031 0.682 N
0.318 0.998 0.469 N
0.031 0.682 0.498 N
0.998 0.469 0.318 N
0.818 0.502 0.531 N
0.469 0.318 0.998 N
0.502 0.531 0.818 N
0.682 0.498 0.031 N
0.969 0.182 0.002 N
0.002 0.969 0.182 N
0.182 0.002 0.969 N
0.012 0.791 0.965 N
0.035 0.512 0.709 N
0.291 0.535 0.988 N
0.512 0.709 0.035 N
0.535 0.988 0.291 N
0.791 0.965 0.012 N
0.988 0.291 0.535 N
0.965 0.012 0.791 N
0.709 0.035 0.512 N
0.488 0.209 0.465 N
0.465 0.488 0.209 N
0.209 0.465 0.488 N
0.263 0.763 0.737 Cl
0.763 0.737 0.263 Cl
0.737 0.263 0.763 Cl
0.237 0.237 0.237 Cl
0.797 0.643 0.812 O
0.188 0.297 0.857 O
0.143 0.688 0.203 O
0.297 0.857 0.188 O
0.688 0.203 0.143 O
0.643 0.812 0.797 O
0.203 0.143 0.688 O
0.812 0.797 0.643 O
0.857 0.188 0.297 O
0.703 0.357 0.312 O
0.312 0.703 0.357 O
0.357 0.312 0.703 O
```

## Properties
Calculated volume in Å³ per cell: 945
Calculated total energy in eV/atom: -6.396
Magnetic moment in μB per cell: 0.19
Density of states at the Fermi level in states/eV/f.u.: 0.00